[1]
# NdSmMg (PBE-GGA, relaxed)
data_NdSmMg
_chemical_formula_sum 'Nd1 Sm1 Mg1'
_cell_length_a 5.3390
_cell_length_b 5.3390
_cell_length_c 5.3390
_cell_angle_alpha 60.00
_cell_angle_beta 60.00
_cell_angle_gamma 60.00
_symmetry_space_group_name_H-M 'P 1'
_symmetry_Int_Tables_number 1
loop_
_symmetry_equiv_pos_as_xyz
'x,y,z'
loop_
_atom_site_label
_atom_site_type_symbol
_atom_site_fract_x
_atom_site_fract_y
_atom_site_fract_z
_atom_site_occupancy
Mg1 Mg 0.0000 0.0000 0.0000 1
Sm1 Sm 0.7500 0.7500 0.7500 1
Nd1 Nd 0.2500 0.2500 0.2500 1
# - theoretical density (g cm⁻³) = 4.9
# - relative energy among the computed polymorphs (eV per atom) = 0.000

***

[2]
# NdMgSn (PBE-GGA, relaxed)
data_NdMgSn
_chemical_formula_sum 'Nd2 Mg2 Sn2'
_cell_length_a 8.7022
_cell_length_b 8.7022
_cell_length_c 8.7022
_cell_angle_alpha 150.00
_cell_angle_beta 150.00
_cell_angle_gamma 42.94
_symmetry_space_group_name_H-M 'P 1'
_symmetry_Int_Tables_number 1
loop_
_symmetry_equiv_pos_as_xyz
'x,y,z'
loop_
_atom_site_label
_atom_site_type_symbol
_atom_site_fract_x
_atom_site_fract_y
_atom_site_fract_z
_atom_site_occupancy
Nd1 Nd 0.6654 0.6654 0.0000 1
Nd2 Nd 0.3345 0.3345 0.0000 1
Sn1 Sn 0.8670 0.8670 0.0000 1
Mg1 Mg 0.0000 0.5000 0.5000 1
Mg2 Mg 0.5000 0.0000 0.5000 1
Sn2 Sn 0.1330 0.1330 0.0000 1
# - theoretical density (g cm⁻³) = 5.8
# - DFT total energy (eV/atom) = -4.051

***

[3]
# NdMgSn (PBE-GGA, relaxed)
data_NdMgSn
_chemical_formula_sum 'Nd1 Mg1 Sn1'
_cell_length_a 5.1584
_cell_length_b 5.1584
_cell_length_c 5.1584
_cell_angle_alpha 60.00
_cell_angle_beta 60.00
_cell_angle_gamma 60.00
_symmetry_space_group_name_H-M 'P 1'
_symmetry_Int_Tables_number 1
loop_
_symmetry_equiv_pos_as_xyz
'x,y,z'
loop_
_atom_site_label
_atom_site_type_symbol
_atom_site_fract_x
_atom_site_fract_y
_atom_site_fract_z
_atom_site_occupancy
Sn1 Sn 0.7500 0.7500 0.7500 1
Mg1 Mg 0.2500 0.2500 0.2500 1
Nd1 Nd 0.0000 0.0000 0.0000 1
# - theoretical density (g cm⁻³) = 4.9
# - DFT total energy (eV/atom) = -3.491

***

[4]
# NdMgTa (PBE-GGA, relaxed)
data_NdMgTa
_chemical_formula_sum 'Nd1 Mg1 Ta1'
_cell_length_a 4.8566
_cell_length_b 4.8566
_cell_length_c 4.8566
_cell_angle_alpha 60.00
_cell_angle_beta 60.00
_cell_angle_gamma 60.00
_symmetry_space_group_name_H-M 'P 1'
_symmetry_Int_Tables_number 1
loop_
_symmetry_equiv_pos_as_xyz
'x,y,z'
loop_
_atom_site_label
_atom_site_type_symbol
_atom_site_fract_x
_atom_site_fract_y
_atom_site_fract_z
_atom_site_occupancy
Mg1 Mg 0.0000 0.0000 0.0000 1
Ta1 Ta 0.7500 0.7500 0.7500 1
Nd1 Nd 0.2500 0.2500 0.2500 1
# - theoretical density (g cm⁻³) = 7.2
# - DFT total energy (eV/atom) = -4.977

***

Q: Number 2 is which compound?
A: NdMgSn